# PmHoHgOs

A relaxed structure of PmHoHgOs (PBE-GGA, Alexandria).

raw total energy	-5.4205	eV/atom
M_tot	0.00	Bohr magnetons per cell

Geometry as CIF:
```
data_PmHoHgOs
_cell_length_a 7.1704
_cell_length_b 7.1704
_cell_length_c 7.1704
_cell_angle_alpha 90.00
_cell_angle_beta 90.00
_cell_angle_gamma 90.00
_symmetry_space_group_name_H-M 'F -4 3 m'
_symmetry_Int_Tables_number 216
_symmetry_space_group_name_Hall 'F -4 2 3'
loop_
_atom_site_label
_atom_site_fract_x
_atom_site_fract_y
_atom_site_fract_z
Pm1 0.0000 0.0000 0.0000
Ho1 0.0000 0.0000 0.5000
Hg1 0.2500 0.2500 0.7500
Os1 0.2500 0.2500 0.2500
```